1.
VASP calculation (PBE) on crystalline TaRe2Au at its relaxed geometry.

Values from the calculation:
The calculation puts the formation energy at 6.7 kJ per mole of atoms. The calculation puts the spin magnetization at 0.0 μB/cell. The calculation puts the distance to the lowest polymorph of the same formula at 0.0 meV per atom.

Structure (CIF):
```
data_TaRe2Au
_symmetry_space_group_name_H-M 'P 4/m m m'
_symmetry_Int_Tables_number 123
_symmetry_space_group_name_Hall '-P 4 2'
_cell_length_a 3.9929
_cell_length_b 3.9929
_cell_length_c 4.0245
_cell_angle_alpha 90.00
_cell_angle_beta 90.00
_cell_angle_gamma 90.00
loop_
_atom_site_label
_atom_site_fract_x
_atom_site_fract_y
_atom_site_fract_z
Ta1 0.0000 0.0000 0.0000
Re1 0.0000 0.5000 0.5000
Au1 0.5000 0.5000 0.0000
```

---

2.
VASP calculation (PBE) on crystalline Al5Mo at its relaxed geometry.

Values from the calculation:
The calculation puts the formation energy at -23.8 kJ per mole of atoms. The calculation puts the spin magnetization at 0.0 μB/cell. The calculation puts the distance to the lowest polymorph of the same formula at 3.4 meV per atom.

Structure (CIF):
```
data_Al5Mo
_symmetry_space_group_name_H-M 'P 63 2 2'
_symmetry_Int_Tables_number 182
_symmetry_space_group_name_Hall 'P 6c 2c'
_cell_length_a 4.9167
_cell_length_b 4.9167
_cell_length_c 8.8615
_cell_angle_alpha 90.00
_cell_angle_beta 90.00
_cell_angle_gamma 120.00
loop_
_atom_site_label
_atom_site_fract_x
_atom_site_fract_y
_atom_site_fract_z
Al1 0.0000 0.0000 0.2500
Al2 0.0000 0.3377 0.0000
Al3 0.3333 0.6667 0.2500
Mo1 0.3333 0.6667 0.7500
```

---

3.
VASP calculation (PBE) on crystalline LiAl2Cl at its relaxed geometry.

Values from the calculation:
The calculation puts the spin magnetization at 0.0 μB/cell. The calculation puts the distance to the lowest polymorph of the same formula at 304.9 meV per atom.

Structure (CIF):
```
data_LiAl2Cl
_symmetry_space_group_name_H-M 'I m m 2'
_symmetry_Int_Tables_number 44
_cell_length_a 3.0639
_cell_length_b 5.2499
_cell_length_c 9.6202
_cell_angle_alpha 90.00
_cell_angle_beta 90.00
_cell_angle_gamma 90.00
loop_
_symmetry_equiv_pos_as_xyz
'x,y,z'
'-x,-y,z'
'-x,y,z'
'x,-y,z'
'x+1/2,y+1/2,z+1/2'
'-x+1/2,-y+1/2,z+1/2'
'-x+1/2,y+1/2,z+1/2'
'x+1/2,-y+1/2,z+1/2'
loop_
_atom_site_label
_atom_site_fract_x
_atom_site_fract_y
_atom_site_fract_z
Li1 0.0000 0.0000 0.0000
Al1 0.0000 0.0000 0.5052
Al2 0.0000 0.5000 0.7498
Cl1 0.0000 0.5000 0.3222
```

---

4.
VASP calculation (PBE) on crystalline BaMg4Ag2 at its relaxed geometry.

Values from the calculation:
The calculation puts the formation energy at -20.3 kJ per mole of atoms. The calculation puts the spin magnetization at 0.0 μB/cell. The calculation puts the distance to the lowest polymorph of the same formula at 0.0 meV per atom.

Structure (CIF):
```
data_BaMg4Ag2
_symmetry_space_group_name_H-M 'P 42/m n m'
_symmetry_Int_Tables_number 136
_symmetry_space_group_name_Hall '-P 4n 2n'
_cell_length_a 8.7964
_cell_length_b 8.7964
_cell_length_c 4.5898
_cell_angle_alpha 90.00
_cell_angle_beta 90.00
_cell_angle_gamma 90.00
loop_
_atom_site_label
_atom_site_fract_x
_atom_site_fract_y
_atom_site_fract_z
Ba1 0.0000 0.0000 0.0000
Mg1 0.0869 0.3421 0.5000
Ag1 0.2206 0.7794 0.5000
```

---

5.
VASP calculation (PBE) on crystalline In2ReOsRh at its relaxed geometry.

Values from the calculation:
The calculation puts the formation energy at 147.6 kJ per mole of atoms. The calculation puts the spin magnetization at 1.6 μB/cell.

Structure (CIF):
```
data_In2ReOsRh
_symmetry_space_group_name_H-M 'P 4/m m m'
_symmetry_Int_Tables_number 123
_symmetry_space_group_name_Hall '-P 4 2'
_cell_length_a 5.1061
_cell_length_b 5.1061
_cell_length_c 4.6605
_cell_angle_alpha 90.00
_cell_angle_beta 90.00
_cell_angle_gamma 90.00
loop_
_atom_site_label
_atom_site_fract_x
_atom_site_fract_y
_atom_site_fract_z
In1 0.0000 0.5000 0.0000
Re1 0.0000 0.0000 0.0000
Os1 0.0000 0.0000 0.5000
Rh1 0.5000 0.5000 0.5000
```

---

6.
VASP calculation (PBE) on crystalline NaCeSn at its relaxed geometry.

Values from the calculation:
The calculation puts the formation energy at -19.5 kJ per mole of atoms. The calculation puts the spin magnetization at 1.3 μB/cell. The calculation puts the distance to the lowest polymorph of the same formula at 0.0 meV per atom.

Structure (CIF):
```
data_NaCeSn
_symmetry_space_group_name_H-M 'P 3 m 1'
_symmetry_Int_Tables_number 156
_cell_length_a 5.2615
_cell_length_b 5.2615
_cell_length_c 3.5100
_cell_angle_alpha 90.00
_cell_angle_beta 90.00
_cell_angle_gamma 120.00
loop_
_symmetry_equiv_pos_as_xyz
'x,y,z'
'-y,x-y,z'
'-x+y,-x,z'
'-y,-x,z'
'-x+y,y,z'
'x,x-y,z'
loop_
_atom_site_label
_atom_site_fract_x
_atom_site_fract_y
_atom_site_fract_z
Na1 0.0000 0.0000 0.0000
Ce1 0.3333 0.6667 0.4967
Sn1 0.6667 0.3333 0.9932
```

---

7.
VASP calculation (PBE) on crystalline YBe2Sb at its relaxed geometry.

Values from the calculation:
As for the total energy: -35.0 eV for the cell shown. The calculation puts the spin magnetization at 0.0 μB/cell.

Structure (CIF):
```
data_YBe2Sb
_symmetry_space_group_name_H-M 'C m m 2'
_symmetry_Int_Tables_number 35
_cell_length_a 4.1492
_cell_length_b 5.4732
_cell_length_c 6.6715
_cell_angle_alpha 90.00
_cell_angle_beta 90.00
_cell_angle_gamma 90.00
loop_
_symmetry_equiv_pos_as_xyz
'x,y,z'
'-x,-y,z'
'-x,y,z'
'x,-y,z'
'x+1/2,y+1/2,z'
'-x+1/2,-y+1/2,z'
'-x+1/2,y+1/2,z'
'x+1/2,-y+1/2,z'
loop_
_atom_site_label
_atom_site_fract_x
_atom_site_fract_y
_atom_site_fract_z
Y1 0.0000 0.0000 0.0000
Be1 0.0000 0.0000 0.4225
Be2 0.0000 0.5000 0.2889
Sb1 0.0000 0.5000 0.6642
```

---

8.
VASP calculation (PBE) on crystalline Pm6Pd5Rh at its relaxed geometry.

Values from the calculation:
The calculation puts the formation energy at -73.5 kJ per mole of atoms. The calculation puts the spin magnetization at 0.0 μB/cell. The calculation puts the distance to the lowest polymorph of the same formula at 0.0 meV per atom.

Structure (CIF):
```
data_Pm6Pd5Rh
_symmetry_space_group_name_H-M 'C 1 2/m 1'
_symmetry_Int_Tables_number 12
_cell_length_a 16.1059
_cell_length_b 7.0748
_cell_length_c 5.1052
_cell_angle_alpha 90.00
_cell_angle_beta 108.31
_cell_angle_gamma 90.00
loop_
_symmetry_equiv_pos_as_xyz
'x,y,z'
'-x,-y,-z'
'-x,y,-z'
'x,-y,z'
'x+1/2,y+1/2,z'
'-x+1/2,-y+1/2,-z'
'-x+1/2,y+1/2,-z'
'x+1/2,-y+1/2,z'
loop_
_atom_site_label
_atom_site_fract_x
_atom_site_fract_y
_atom_site_fract_z
Pm1 0.0000 0.2453 0.0000
Pm2 0.1640 0.2476 0.6640
Pd1 0.0000 0.5000 0.5000
Pd2 0.1674 0.5000 0.1674
Pd3 0.1691 0.0000 0.1695
Rh1 0.0000 0.0000 0.5000
```